# 1
# Cd2FeSe, relaxed, DFT PBE
# electronic total energy	-51.49	eV for the cell shown
# E_form (uncorrected)	0.23	eV/atom
# DOS at the Fermi energy	0.57	states/eV/atom
data_Cd2FeSe
_chemical_formula_sum 'Cd8 Fe4 Se4'
_cell_length_a 9.2968
_cell_length_b 9.2968
_cell_length_c 4.4534
_cell_angle_alpha 90.00
_cell_angle_beta 90.00
_cell_angle_gamma 90.00
_symmetry_space_group_name_H-M 'I -4 2 d'
_symmetry_Int_Tables_number 122
_symmetry_space_group_name_Hall 'I -4 2bw'
loop_
_atom_site_label
_atom_site_type_symbol
_atom_site_fract_x
_atom_site_fract_y
_atom_site_fract_z
Cd1 Cd 0.1395 0.2500 0.1250
Fe1 Fe 0.0000 0.0000 0.0000
Se1 Se 0.0000 0.0000 0.5000

***

# 2
# Cd2FeSe, relaxed, DFT PBE
# electronic total energy	-12.67	eV for the cell shown
# E_form (uncorrected)	0.28	eV/atom
# DOS at the Fermi energy	0.97	states/eV/atom
data_Cd2FeSe
_chemical_formula_sum 'Cd2 Fe1 Se1'
_cell_length_a 3.6354
_cell_length_b 3.6354
_cell_length_c 5.8361
_cell_angle_alpha 90.00
_cell_angle_beta 90.00
_cell_angle_gamma 90.00
_symmetry_space_group_name_H-M 'P 4/m m m'
_symmetry_Int_Tables_number 123
_symmetry_space_group_name_Hall '-P 4 2'
loop_
_atom_site_label
_atom_site_type_symbol
_atom_site_fract_x
_atom_site_fract_y
_atom_site_fract_z
Cd1 Cd 0.0000 0.0000 0.2374
Fe1 Fe 0.5000 0.5000 0.0000
Se1 Se 0.5000 0.5000 0.5000

***

# 3
# Cd3FeSe4, relaxed, DFT PBE
# electronic total energy	-28.60	eV for the cell shown
# E_form (uncorrected)	-0.43	eV/atom
# DOS at the Fermi energy	0.75	states/eV/atom
data_Cd3FeSe4
_chemical_formula_sum 'Cd3 Fe1 Se4'
_cell_length_a 4.2899
_cell_length_b 4.2899
_cell_length_c 14.0249
_cell_angle_alpha 90.00
_cell_angle_beta 90.00
_cell_angle_gamma 120.00
_symmetry_space_group_name_H-M 'P 3 m 1'
_symmetry_Int_Tables_number 156
_symmetry_space_group_name_Hall 'P 3 -2"'
loop_
_atom_site_label
_atom_site_type_symbol
_atom_site_fract_x
_atom_site_fract_y
_atom_site_fract_z
Cd1 Cd 0.0000 0.0000 0.0000
Cd2 Cd 0.0000 0.0000 0.4803
Cd3 Cd 0.6667 0.3333 0.7399
Fe1 Fe 0.6667 0.3333 0.2336
Se1 Se 0.0000 0.0000 0.1912
Se2 Se 0.0000 0.0000 0.6707
Se3 Se 0.6667 0.3333 0.4095
Se4 Se 0.6667 0.3333 0.9304

***

# 4
# Cd2FeSe, relaxed, DFT PBE
# electronic total energy	-13.50	eV for the cell shown
# E_form (uncorrected)	0.07	eV/atom
# DOS at the Fermi energy	0.50	states/eV/atom
data_Cd2FeSe
_chemical_formula_sum 'Cd2 Fe1 Se1'
_cell_length_a 2.9832
_cell_length_b 2.9832
_cell_length_c 8.6207
_cell_angle_alpha 90.00
_cell_angle_beta 90.00
_cell_angle_gamma 90.00
_symmetry_space_group_name_H-M 'P 4 m m'
_symmetry_Int_Tables_number 99
_symmetry_space_group_name_Hall 'P 4 -2'
loop_
_atom_site_label
_atom_site_type_symbol
_atom_site_fract_x
_atom_site_fract_y
_atom_site_fract_z
Cd1 Cd 0.0000 0.0000 0.0000
Cd2 Cd 0.5000 0.5000 0.2845
Fe1 Fe 0.0000 0.0000 0.5141
Se1 Se 0.5000 0.5000 0.6489